Density functional theory data (GGA-PBE) for crystalline Sc2TlCrSe at its relaxed geometry.

```
5
Lattice="5.406 0.000 0.000 0.000 5.439 0.000 0.000 0.000 5.406" Properties=species:S:1:pos:R:3 pbc="T T T"
Sc 0.000 0.000 2.703
Sc 2.703 0.000 0.000
Cr 2.703 2.720 2.703
Tl 0.000 0.000 0.000
Se 0.000 2.720 0.000
```

Computed properties:
size of the total moment	5.2	μB/f.u.
E_form (uncorrected)	947.6	meV per atom
space group	P4/mmm
total DFT energy (no corrections)	-23.40	eV/cell